## RbTl2Pb10 (PBE)

Data for RbTl2Pb10 after structural relaxation.

a = 6.574 Å, b = 8.770 Å, c = 8.904 Å
α = 82.05°, β = 68.34°, γ = 67.99°
Positions (direct):
Pb  0.357  0.641  0.646
Tl  0.000  0.000  0.500
Pb  0.003  0.641  0.354
Tl  0.500  0.000  0.500
Pb  0.723  0.777  0.776
Pb  0.997  0.359  0.646
Pb  0.000  0.500  0.000
Rb  0.000  0.000  0.000
Pb  0.500  0.500  0.000
Pb  0.500  0.777  0.224
Pb  0.500  0.223  0.776
Pb  0.643  0.359  0.354
Pb  0.277  0.223  0.224

## Properties
SG = Fmmm
size of the total moment = 0.00 μB/atom
calculated formation energy = -0.218 eV per formula unit